[1]
This record from Alexandria via LeMat-Bulk describes a relaxed structure of Y4TlZnO. The functional is PBE-GGA.

The calculated total energy is -5.93 eV/atom. The symmetry is No. 63.

abc: 8.5500 8.5500 6.5812
angles: 90.00 90.00 134.86
Closest atoms and distances in Å follow each position.
Fractional coordinates of all 14 atoms:
Y (0.0000, 0.5000, 0.0000)  2 O 2.32
Y (0.0000, 0.5000, 0.5000)  2 O 2.32
Y (0.0683, 0.9317, 0.7500)  1 O 2.94, 1 Zn 2.99
Y (0.4187, 0.5813, 0.7500)  1 O 2.59
Y (0.5000, 0.0000, 0.0000)  2 O 2.32
Y (0.5000, 0.0000, 0.5000)  2 O 2.32
Y (0.5813, 0.4187, 0.2500)  1 O 2.59
Y (0.9317, 0.0683, 0.2500)  1 O 2.94, 1 Zn 2.99
Tl (0.3887, 0.6113, 0.2500)  9 Y 3.04-3.35
Tl (0.6113, 0.3887, 0.7500)  9 Y 3.04-3.35
Zn (0.1210, 0.8790, 0.2500)  7 Y 2.99-3.34
Zn (0.8790, 0.1210, 0.7500)  7 Y 2.99-3.34
O (0.2547, 0.7453, 0.7500)  5 Y 2.32-2.59
O (0.7453, 0.2547, 0.2500)  5 Y 2.32-2.59

---

[2]
This record from Alexandria via LeMat-Bulk describes a relaxed structure of EuCuSn. The functional is PBE-GGA.

The calculated total energy is -6.58 eV/atom. The symmetry is No. 187.

abc: 4.6876 4.6876 3.8228
angles: 90.00 90.00 120.00
Closest atoms and distances in Å follow each position.
Fractional coordinates of all 3 atoms:
Eu (0.0000, 0.0000, 0.0000)  6 Cu 3.31, 6 Sn 3.31
Cu (0.6667, 0.3333, 0.5000)  3 Sn 2.71
Sn (0.3333, 0.6667, 0.5000)  3 Cu 2.71

---

[3]
This record from Alexandria via LeMat-Bulk describes a relaxed structure of LiPm4SmSe8. The functional is PBE-GGA.

The calculated total energy is -5.52 eV/atom. The symmetry is No. 160.

abc: 8.4881 8.4881 8.4881
angles: 61.30 61.30 61.30
Closest atoms and distances in Å follow each position.
Fractional coordinates of all 14 atoms:
Li (0.0000, 0.0000, 0.0000)  6 Se 2.88-2.90
Pm (0.9998, 0.9998, 0.5002)  6 Se 2.94-2.97
Pm (0.9998, 0.5002, 0.9998)  6 Se 2.94-2.97
Pm (0.5002, 0.9998, 0.9998)  6 Se 2.94-2.97
Pm (0.6170, 0.6170, 0.6170)  4 Se 2.80-2.85
Sm (0.3822, 0.3822, 0.3822)  4 Se 2.78-2.83
Se (0.2216, 0.7622, 0.7622)  3 Pm 2.80-2.94, 1 Li 2.88
Se (0.2394, 0.2394, 0.7762)  1 Sm 2.78, 1 Li 2.90, 2 Pm 2.94
Se (0.2394, 0.7762, 0.2394)  1 Sm 2.78, 1 Li 2.90, 2 Pm 2.94
Se (0.2446, 0.2446, 0.2446)  1 Sm 2.83, 3 Pm 2.97
Se (0.7552, 0.7552, 0.7552)  4 Pm 2.85-2.97
Se (0.7622, 0.2216, 0.7622)  3 Pm 2.80-2.94, 1 Li 2.88
Se (0.7622, 0.7622, 0.2216)  3 Pm 2.80-2.94, 1 Li 2.88
Se (0.7762, 0.2394, 0.2394)  1 Sm 2.78, 1 Li 2.90, 2 Pm 2.94

---

[4]
This record from Alexandria via LeMat-Bulk describes a relaxed structure of Sm3Pd4Pt4. The functional is PBE-GGA.

The calculated total energy is -5.82 eV/atom. The symmetry is No. 217.

abc: 6.7979 6.7979 6.7979
angles: 109.47 109.47 109.47
Closest atoms and distances in Å follow each position.
Fractional coordinates of all 11 atoms:
Sm (0.0000, 0.5000, 0.5000)  4 Pt 3.23, 4 Pd 3.26
Sm (0.5000, 0.0000, 0.5000)  4 Pt 3.23, 4 Pd 3.26
Sm (0.5000, 0.5000, 0.0000)  4 Pt 3.23, 4 Pd 3.26
Pd (0.0000, 0.0000, 0.2451)  4 Pt 2.46-2.64, 3 Pd 2.72
Pd (0.0000, 0.2451, 0.0000)  4 Pt 2.46-2.64, 3 Pd 2.72
Pd (0.2451, 0.0000, 0.0000)  4 Pt 2.46-2.64, 3 Pd 2.72
Pd (0.7549, 0.7549, 0.7549)  4 Pt 2.46-2.64, 3 Pd 2.72
Pt (0.0000, 0.0000, 0.6063)  4 Pd 2.46-2.64
Pt (0.0000, 0.6063, 0.0000)  4 Pd 2.46-2.64
Pt (0.3937, 0.3937, 0.3937)  4 Pd 2.46-2.64
Pt (0.6063, 0.0000, 0.0000)  4 Pd 2.46-2.64

---

[5]
This record from Alexandria via LeMat-Bulk describes a relaxed structure of Ni8Sb2Pt. The functional is PBE-GGA.

The calculated total energy is -5.46 eV/atom. The symmetry is No. 12.

abc: 6.8760 6.8760 4.2788
angles: 103.72 103.72 122.03
Closest atoms and distances in Å follow each position.
Fractional coordinates of all 11 atoms:
Ni (0.0994, 0.3130, 0.6409)  5 Ni 2.40-2.68, 1 Sb 2.52
Ni (0.2072, 0.7928, 0.0000)  2 Sb 2.47, 1 Pt 2.49, 2 Ni 2.68
Ni (0.3130, 0.0994, 0.6409)  5 Ni 2.40-2.68, 1 Sb 2.52
Ni (0.4228, 0.4228, 0.1904)  6 Ni 2.31-2.56, 1 Pt 2.52, 2 Sb 2.57
Ni (0.5772, 0.5772, 0.8096)  6 Ni 2.31-2.56, 1 Pt 2.52, 2 Sb 2.57
Ni (0.6870, 0.9006, 0.3591)  5 Ni 2.40-2.68, 1 Sb 2.52
Ni (0.7928, 0.2072, 0.0000)  2 Sb 2.47, 1 Pt 2.49, 2 Ni 2.68
Ni (0.9006, 0.6870, 0.3591)  5 Ni 2.40-2.68, 1 Sb 2.52
Sb (0.3092, 0.6908, 0.5000)  8 Ni 2.47-2.71
Sb (0.6908, 0.3092, 0.5000)  8 Ni 2.47-2.71
Pt (0.0000, 0.0000, 0.0000)  8 Ni 2.49-2.71

---

[6]
This record from Alexandria via LeMat-Bulk describes a relaxed structure of ZnFeReOs2. The functional is PBE-GGA.

The calculated total energy is -7.24 eV/atom. The symmetry is No. 123.

abc: 4.4186 4.4186 4.3931
angles: 90.00 90.00 90.00
Closest atoms and distances in Å follow each position.
Fractional coordinates of all 5 atoms:
Zn (0.0000, 0.0000, 0.0000)  8 Os 3.12, 4 Re 3.12
Fe (0.5000, 0.5000, 0.5000)  2 Re 2.20, 4 Os 2.21
Re (0.5000, 0.5000, 0.0000)  2 Fe 2.20
Os (0.0000, 0.5000, 0.5000)  2 Fe 2.21
Os (0.5000, 0.0000, 0.5000)  2 Fe 2.21

---

[7]
This record from Alexandria via LeMat-Bulk describes a relaxed structure of ZrIn2W. The functional is PBE-GGA.

The calculated total energy is -6.53 eV/atom. The symmetry is No. 139.

abc: 5.3992 5.3992 5.3992
angles: 133.83 133.83 67.35
Closest atoms and distances in Å follow each position.
Fractional coordinates of all 4 atoms:
Zr (0.0000, 0.0000, 0.0000)  4 W 2.99, 8 In 3.09
In (0.2500, 0.7500, 0.5000)  4 In 2.99, 4 W 3.09, 4 Zr 3.09
In (0.7500, 0.2500, 0.5000)  4 In 2.99, 4 W 3.09, 4 Zr 3.09
W (0.5000, 0.5000, 0.0000)  4 Zr 2.99, 8 In 3.09

---

[8]
This record from Alexandria via LeMat-Bulk describes a relaxed structure of La2Pr3Tm4. The functional is PBE-GGA.

The calculated total energy is -4.58 eV/atom. The symmetry is No. 15.

abc: 10.2178 10.2178 6.1897
angles: 96.54 96.54 71.01
Closest atoms and distances in Å follow each position.
Fractional coordinates of all 18 atoms:
La (0.0146, 0.7530, 0.7136)  5 Pr 3.34-3.69, 3 Tm 3.47-3.57
La (0.2470, 0.9854, 0.7864)  5 Pr 3.34-3.69, 3 Tm 3.47-3.57
La (0.7530, 0.0146, 0.2136)  5 Pr 3.34-3.69, 3 Tm 3.47-3.57
La (0.9854, 0.2470, 0.2864)  5 Pr 3.34-3.69, 3 Tm 3.47-3.57
Pr (0.1337, 0.8663, 0.2500)  4 Tm 3.55-3.87, 6 La 3.60-3.68
Pr (0.1994, 0.4806, 0.4048)  2 La 3.34-3.69, 8 Tm 3.40-3.63
Pr (0.4806, 0.1994, 0.9048)  2 La 3.34-3.69, 8 Tm 3.40-3.63
Pr (0.5194, 0.8006, 0.0952)  2 La 3.34-3.69, 8 Tm 3.40-3.63
Pr (0.8006, 0.5194, 0.5952)  2 La 3.34-3.69, 8 Tm 3.40-3.63
Pr (0.8663, 0.1337, 0.7500)  4 Tm 3.55-3.87, 6 La 3.60-3.68
Tm (0.1135, 0.3557, 0.8561)  4 Pr 3.40-3.61, 2 Tm 3.45-3.54, 3 La 3.53-3.79
Tm (0.3298, 0.5579, 0.9592)  3 Tm 3.29-3.45, 5 Pr 3.47-3.63, 1 La 3.47
Tm (0.3557, 0.1135, 0.3561)  4 Pr 3.40-3.61, 2 Tm 3.45-3.54, 3 La 3.53-3.79
Tm (0.4421, 0.6702, 0.5408)  3 Tm 3.29-3.45, 5 Pr 3.47-3.63, 1 La 3.47
Tm (0.5579, 0.3298, 0.4592)  3 Tm 3.29-3.45, 5 Pr 3.47-3.63, 1 La 3.47
Tm (0.6443, 0.8865, 0.6439)  4 Pr 3.40-3.61, 2 Tm 3.45-3.54, 3 La 3.53-3.79
Tm (0.6702, 0.4421, 0.0408)  3 Tm 3.29-3.45, 5 Pr 3.47-3.63, 1 La 3.47
Tm (0.8865, 0.6443, 0.1439)  4 Pr 3.40-3.61, 2 Tm 3.45-3.54, 3 La 3.53-3.79